## A
Entry from the Alexandria database: CrAs2BrO after structural relaxation (PBE with a Hubbard U).

## Properties
Space group: P4/mmm
Density of states at the Fermi level, states/eV per atom: 1.31
M_tot, μB/f.u.: 3.1

Cell: 4.8368 4.8368 5.0269 Å, 90.00 90.00 90.00°
Element x y z (fractional)
Cr1 0.0000 0.0000 0.0000
As1 0.0000 0.5000 0.0000
As2 0.5000 0.0000 0.0000
Br1 0.0000 0.0000 0.5000
O1 0.5000 0.5000 0.5000

=====

## B
Entry from the Alexandria database: CrAs2BrO after structural relaxation (PBE with a Hubbard U).

## Properties
Space group: P4/mmm
Density of states at the Fermi level, states/eV per atom: 0.62
M_tot, μB/f.u.: 4.3

Cell: 4.1077 4.1077 6.5670 Å, 90.00 90.00 90.00°
Element x y z (fractional)
Cr1 0.0000 0.0000 0.0000
As1 0.0000 0.5000 0.5000
As2 0.5000 0.0000 0.5000
Br1 0.5000 0.5000 0.0000
O1 0.5000 0.5000 0.5000

=====

Name the most stable of them. B.

=====

## A
Entry from the Alexandria database: CrAsBr2O after structural relaxation (PBE with a Hubbard U).

## Properties
Space group: P4/mmm
Density of states at the Fermi level, states/eV per atom: 0.84
M_tot, μB/f.u.: 4.8

Cell: 5.8916 5.8916 3.6555 Å, 90.00 90.00 90.00°
Element x y z (fractional)
Cr1 0.0000 0.0000 0.0000
As1 0.5000 0.5000 0.0000
Br1 0.0000 0.5000 0.5000
Br2 0.5000 0.0000 0.5000
O1 0.5000 0.5000 0.5000

=====

## B
Entry from the Alexandria database: CrAsBr2O after structural relaxation (PBE with a Hubbard U).

## Properties
Space group: P4/mmm
Density of states at the Fermi level, states/eV per atom: 0.62
M_tot, μB/f.u.: 3.7

Cell: 5.0175 5.0175 5.2404 Å, 90.00 90.00 90.00°
Element x y z (fractional)
Cr1 0.0000 0.0000 0.0000
As1 0.0000 0.0000 0.5000
Br1 0.0000 0.5000 0.0000
Br2 0.5000 0.0000 0.0000
O1 0.5000 0.5000 0.5000

=====

Name the most stable of them. A.